ZrTe2: relaxed, GGA-PBE.

The density is 6.10 g cm⁻³. For the density of states at the Fermi level, the calculation gives 0.144 states/eV per atom. For the uncorrected formation energy, the calculation gives -17.3 kcal/mol of atoms.

The space group is Pnnm (No. 58) and the conventional cell measures 6.442, 7.354 and 3.983 Å, with angles of 90.00, 90.00 and 90.00 degrees. Symmetry generates all atoms from Zr at (0.000, 0.000, 0.000) and Te at (0.229, 0.347, 0.000).